Record 1
Entry from Alexandria via LeMat-Bulk: a crystal of ZnTcSb relaxed with PBEsol (meta-GGA SCAN).

Structure (extended XYZ):
```
3
Lattice="-1.6759 1.6759 4.2644 1.6759 -1.6759 4.2644 1.6759 1.6759 -4.2644" Properties=species:S:1:pos:R:3 pbc="T T T"
Zn 0.0000 0.0000 0.0000
Tc 0.0000 0.0000 2.8992
Sb 0.0000 0.0000 5.7840
```

Computed properties:
* calculated volume: 47.9 Å³ per cell
* ΔE_f (raw): -0.1 eV/f.u.


Record 2
Entry from Alexandria via LeMat-Bulk: a crystal of CaNbSiSb2 relaxed with PBEsol (meta-GGA SCAN).

Structure (extended XYZ):
```
5
Lattice="5.2964 0.0000 0.0000 0.0000 5.2964 0.0000 0.0000 0.0000 4.7408" Properties=species:S:1:pos:R:3 pbc="T T T"
Ca 0.0000 0.0000 0.0000
Nb 2.6482 2.6482 0.0000
Si 2.6482 2.6482 2.3704
Sb 0.0000 2.6482 2.3704
Sb 2.6482 0.0000 2.3704
```

Computed properties:
* Fermi-level density of states: 3.3 states/eV/f.u.
* calculated volume: 133.0 Å³ per cell
* ΔE_f (raw): 1.7 eV/f.u.


Q: What is the calculated volume in the second record?
A: 133.0 Å³ per cell